{"formula": "RbCu3Se3", "functional": "PBE", "state": "optimized geometry", "lattice_angstrom": [[6.863, 0.000, 0.000], [0.000, 6.863, 0.000], [0.000, 0.000, 6.863]], "species": ["Rb", "Rb", "Cu", "Cu", "Cu", "Cu", "Cu", "Cu", "Se", "Se", "Se", "Se", "Se", "Se"], "frac_coords": [[0.000, 0.000, 0.000], [0.500, 0.500, 0.500], [0.000, 0.250, 0.500], [0.000, 0.750, 0.500], [0.250, 0.500, 0.000], [0.500, 0.000, 0.250], [0.500, 0.000, 0.750], [0.750, 0.500, 0.000], [0.000, 0.500, 0.250], [0.000, 0.500, 0.750], [0.250, 0.000, 0.500], [0.500, 0.250, 0.000], [0.500, 0.750, 0.000], [0.750, 0.000, 0.500]], "magnetic_moment_mub_per_cell": 0.0, "final_energy_ev_per_atom": -3.821, "mass_density_g_cm3": 5.3}